1.
12
Lattice="5.989 0.000 0.000 -2.995 5.187 0.000 0.000 0.000 8.190" Properties=species:S:1:pos:R:3 comment="RbThV2O8 (GGA+U, relaxed)" space_group="No. 147" magmom_total_mub_per_cell=1.09 dos_at_fermi_per_ev_atom=0.828 pbc="T T T"
Rb 0.000 0.000 0.000
Th 0.000 0.000 4.095
V 2.995 1.729 2.082
V 0.000 3.458 6.108
O 0.000 3.458 7.792
O 1.543 0.915 2.656
O 4.425 0.879 2.656
O 2.995 1.729 0.397
O -1.431 4.308 5.534
O 1.451 4.272 5.534
O -0.021 1.794 5.534
O 3.015 3.393 2.656


2.
18
Lattice="-1.368 2.222 -7.764 -7.037 -3.126 0.345 2.141 5.286 5.456" Properties=species:S:1:pos:R:3 comment="RbThWO6 (GGA+U, relaxed)" space_group="No. 74" magmom_total_mub_per_cell=1.65 dos_at_fermi_per_ev_atom=0.621 pbc="T T T"
Rb -3.792 3.494 -2.652
Rb -2.471 0.889 0.690
Th 0.387 3.754 -1.154
Th 1.070 2.643 2.728
W -4.202 -0.452 -3.709
W -0.684 1.111 -3.882
O -3.700 3.771 1.731
O -0.275 5.058 -2.824
O -1.224 2.750 -4.755
O -4.672 0.277 -1.981
O -0.769 2.011 -2.172
O -5.127 1.016 -4.563
O -2.563 0.611 -3.694
O -5.989 -0.676 0.862
O -5.039 1.633 2.792
O -1.592 4.105 0.018
O -5.494 2.372 0.210
O -1.137 3.366 2.601


3.
10
Lattice="-3.414 4.936 -1.021 -0.714 -1.694 -5.803 -5.593 -0.596 -2.331" Properties=species:S:1:pos:R:3 comment="Rb2ThWO6 (GGA+U, relaxed)" space_group="No. 225" magmom_total_mub_per_cell=0.00 dos_at_fermi_per_ev_atom=0.000 pbc="T T T"
Rb -5.535 2.980 -3.382
Rb -4.186 -0.335 -5.773
Th 0.000 0.000 0.000
W -2.064 1.621 -3.412
O -3.679 0.606 -2.917
O -8.602 1.767 -7.304
O -1.447 0.103 -4.507
O -2.682 3.138 -2.317
O -1.119 0.878 -1.850
O -6.042 2.039 -6.238


4.
12
Lattice="-4.467 2.957 1.567 -1.429 -4.746 1.127 2.246 -1.565 6.843" Properties=species:S:1:pos:R:3 comment="RbTh2WO8 (GGA+U, relaxed)" space_group="No. 2" magmom_total_mub_per_cell=0.20 dos_at_fermi_per_ev_atom=0.105 pbc="T T T"
Rb 1.123 -0.783 3.422
Th -1.207 -1.355 6.659
Th -2.443 -1.999 2.878
W 0.000 0.000 0.000
O -0.802 -3.562 2.522
O -2.235 -2.620 8.351
O -3.114 1.618 1.992
O -2.848 0.208 7.015
O -1.415 -0.734 1.186
O -0.536 -4.972 7.546
O -2.132 -2.731 5.087
O -1.518 -0.623 4.450


no.,DFT total energy (Ha/atom)
1,-0.276
2,-0.272
3,-0.263
4,-0.289